Compound: ZnBr2
Source: OQMD via LeMat-Bulk
Functional: PBE-GGA
Structure: relaxed

For the total DFT energy (no corrections), the calculation gives -2.302 eV/atom.

It has space group C2/m (No. 12), with a = 13.7926 Å, b = 3.6601 Å, c = 11.3378 Å, α = 90.00°, β = 91.65° and γ = 90.00°. Symmetry generates all atoms from Zn at (0.0000, 0.0000, 0.0000), Zn at (0.2084, 0.5000, 0.3720), Br at (0.1133, 0.5000, 0.9373), Br at (0.1215, 0.0000, 0.2653) and Br at (0.1518, 0.5000, 0.5815).

---

Compound: LuSnPt2
Source: OQMD via LeMat-Bulk
Functional: PBE-GGA
Structure: relaxed

For the total DFT energy (no corrections), the calculation gives -5.792 eV/atom.

It has space group F-43m (No. 216), with a = 6.7436 Å, b = 6.7436 Å, c = 6.7436 Å, α = 90.00°, β = 90.00° and γ = 90.00°. Symmetry generates all atoms from Lu at (0.0000, 0.0000, 0.0000), Sn at (0.2500, 0.2500, 0.7500), Pt at (0.0000, 0.0000, 0.5000) and Pt at (0.2500, 0.2500, 0.2500).

---

Compound: Tb2Al5Au3
Source: OQMD via LeMat-Bulk
Functional: PBE-GGA
Structure: relaxed

For the total DFT energy (no corrections), the calculation gives -4.448 eV/atom.

It has space group Ibam (No. 72), with a = 10.8848 Å, b = 11.9126 Å, c = 6.0886 Å, α = 90.00°, β = 90.00° and γ = 90.00°. Symmetry generates all atoms from Tb at (0.2395, 0.1296, 0.0000), Al at (0.0000, 0.0000, 0.2500), Al at (0.0000, 0.2589, 0.2500), Al at (0.1456, 0.3865, 0.0000), Au at (0.0000, 0.5000, 0.2500) and Au at (0.1287, 0.1298, 0.5000).

---

Compound: Ga2Cu2SeS3
Source: OQMD via LeMat-Bulk
Functional: PBE-GGA
Structure: relaxed

For the total DFT energy (no corrections), the calculation gives -4.224 eV/atom.

It has space group C2 (No. 5), with a = 12.0531 Å, b = 5.4309 Å, c = 5.4455 Å, α = 90.00°, β = 116.65° and γ = 90.00°. Symmetry generates all atoms from Ga at (0.1269, 0.0000, 0.3830), Cu at (0.1321, 0.5200, 0.8682), Se at (0.0000, 0.2655, 0.0000), S at (0.0000, 0.7540, 0.5000) and S at (0.2501, 0.2558, 0.7492).

---

Compound: YLu3C2Se2
Source: OQMD via LeMat-Bulk
Functional: PBE-GGA
Structure: relaxed

For the total DFT energy (no corrections), the calculation gives -6.867 eV/atom.

It has space group P3m1 (No. 156), with a = 3.6893 Å, b = 3.6893 Å, c = 13.0049 Å, α = 90.00°, β = 90.00° and γ = 120.00°. Symmetry generates all atoms from Y at (0.0000, 0.0000, 0.0000), Lu at (0.0000, 0.0000, 0.6959), Lu at (0.6667, 0.3333, 0.2014), Lu at (0.6667, 0.3333, 0.5005), C at (0.3333, 0.6667, 0.1034), C at (0.3333, 0.6667, 0.5979), Se at (0.0000, 0.0000, 0.3508) and Se at (0.6667, 0.3333, 0.8443).

---

Compound: Zr4CuNiN2
Source: OQMD via LeMat-Bulk
Functional: PBE-GGA
Structure: relaxed

For the total DFT energy (no corrections), the calculation gives -8.350 eV/atom.

It has space group P-6m2 (No. 187), with a = 3.2727 Å, b = 3.2727 Å, c = 13.2292 Å, α = 90.00°, β = 90.00° and γ = 120.00°. Symmetry generates all atoms from Zr at (0.0000, 0.0000, 0.1457), Zr at (0.3333, 0.6667, 0.3430), Cu at (0.0000, 0.0000, 0.5000), Ni at (0.3333, 0.6667, 0.0000) and N at (0.6667, 0.3333, 0.2460).

---

Compound: BaHoCuTe3
Source: OQMD via LeMat-Bulk
Functional: PBE-GGA
Structure: relaxed

For the total DFT energy (no corrections), the calculation gives -4.486 eV/atom.

It has space group P2_1/m (No. 11), with a = 8.6641 Å, b = 4.4229 Å, c = 10.7119 Å, α = 90.00°, β = 106.74° and γ = 90.00°. Symmetry generates all atoms from Ba at (0.2440, 0.2500, 0.2991), Ho at (0.3073, 0.7500, 0.8433), Cu at (0.0779, 0.2500, 0.5942), Te at (0.0657, 0.2500, 0.8409), Te at (0.2385, 0.7500, 0.5496) and Te at (0.4389, 0.7500, 0.1436).

---

Compound: GdAlSiPt2
Source: OQMD via LeMat-Bulk
Functional: PBE-GGA
Structure: relaxed

For the total DFT energy (no corrections), the calculation gives -6.327 eV/atom.

It has space group P4/nmm (No. 129, origin choice 2), with a = 4.1977 Å, b = 4.1977 Å, c = 10.2785 Å, α = 90.00°, β = 90.00° and γ = 90.00°. Symmetry generates all atoms from Gd at (0.2500, 0.2500, 0.2468), Al at (0.2500, 0.7500, 0.5000), Si at (0.2500, 0.2500, 0.8703), Pt at (0.2500, 0.2500, 0.6402) and Pt at (0.2500, 0.7500, 0.0000).

---

Compound: LuNpSe3
Source: OQMD via LeMat-Bulk
Functional: PBE-GGA
Structure: relaxed

For the total DFT energy (no corrections), the calculation gives -7.050 eV/atom.

It has space group Cmcm (No. 63), with a = 3.9525 Å, b = 13.0527 Å, c = 9.8640 Å, α = 90.00°, β = 90.00° and γ = 90.00°. Symmetry generates all atoms from Lu at (0.0000, 0.0000, 0.0000), Np at (0.0000, 0.2518, 0.2500), Se at (0.0000, 0.0882, 0.7500) and Se at (0.0000, 0.3542, 0.5639).

---

Compound: AcThU
Source: OQMD via LeMat-Bulk
Functional: PBE-GGA
Structure: relaxed

For the energy relative to the lowest polymorph listed for this composition, the calculation gives 0.0 meV/atom. For the total DFT energy (no corrections), the calculation gives -6.413 eV/atom.

It has space group F-43m (No. 216), with a = 7.6214 Å, b = 7.6214 Å, c = 7.6214 Å, α = 90.00°, β = 90.00° and γ = 90.00°. Symmetry generates all atoms from Ac at (0.0000, 0.0000, 0.0000), Th at (0.0000, 0.0000, 0.5000) and U at (0.2500, 0.2500, 0.2500).

---

Compound: PrCo2SiB
Source: OQMD via LeMat-Bulk
Functional: PBE-GGA
Structure: relaxed

For the total DFT energy (no corrections), the calculation gives -6.755 eV/atom.

It has space group I4mm (No. 107), with a = 3.7215 Å, b = 3.7215 Å, c = 10.5576 Å, α = 90.00°, β = 90.00° and γ = 90.00°. Symmetry generates all atoms from Pr at (0.0000, 0.0000, 0.0000), Co at (0.0000, 0.5000, 0.2696), Si at (0.0000, 0.0000, 0.6511) and B at (0.0000, 0.0000, 0.3449).

---

Compound: KTe2WAuS
Source: OQMD via LeMat-Bulk
Functional: PBE-GGA
Structure: relaxed

For the total DFT energy (no corrections), the calculation gives -4.696 eV/atom.

It has space group Cmcm (No. 63), with a = 4.1253 Å, b = 16.5328 Å, c = 9.8764 Å, α = 90.00°, β = 90.00° and γ = 90.00°. Symmetry generates all atoms from K at (0.0000, 0.2275, 0.2500), Te at (0.0000, 0.3805, 0.5018), W at (0.0000, 0.0000, 0.0000), Au at (0.0000, 0.4444, 0.7500) and S at (0.0000, 0.0388, 0.7500).

---

What is the total DFT energy (no corrections) in the ninth record? -7.050 eV/atom

---

Please write out number 8 again, unchanged.
Compound: GdAlSiPt2
Source: OQMD via LeMat-Bulk
Functional: PBE-GGA
Structure: relaxed

For the total DFT energy (no corrections), the calculation gives -6.327 eV/atom.

It has space group P4/nmm (No. 129, origin choice 2), with a = 4.1977 Å, b = 4.1977 Å, c = 10.2785 Å, α = 90.00°, β = 90.00° and γ = 90.00°. Symmetry generates all atoms from Gd at (0.2500, 0.2500, 0.2468), Al at (0.2500, 0.7500, 0.5000), Si at (0.2500, 0.2500, 0.8703), Pt at (0.2500, 0.2500, 0.6402) and Pt at (0.2500, 0.7500, 0.0000).

---

Please write out number 4 again, unchanged.
Compound: Ga2Cu2SeS3
Source: OQMD via LeMat-Bulk
Functional: PBE-GGA
Structure: relaxed

For the total DFT energy (no corrections), the calculation gives -4.224 eV/atom.

It has space group C2 (No. 5), with a = 12.0531 Å, b = 5.4309 Å, c = 5.4455 Å, α = 90.00°, β = 116.65° and γ = 90.00°. Symmetry generates all atoms from Ga at (0.1269, 0.0000, 0.3830), Cu at (0.1321, 0.5200, 0.8682), Se at (0.0000, 0.2655, 0.0000), S at (0.0000, 0.7540, 0.5000) and S at (0.2501, 0.2558, 0.7492).